(1)
# BaPrGa2Pd2

Crystalline BaPrGa2Pd2 at its relaxed geometry (GGA-PBE, the Alexandria database).

Space-group type   No. 164
E   -4.565 eV/atom
Energy relative to the elements   -0.71 eV/atom
Spin magnetization   0.00 μB/f.u.

a = 4.5691 Å, b = 4.5691 Å, c = 8.2572 Å
α = 90.00°, β = 90.00°, γ = 120.00°
Sites, in units of the cell vectors:
Ba 0.0000 0.0000 0.0000
Pr 0.0000 0.0000 0.5000
Ga 0.3333 0.6667 0.2869
Ga 0.6667 0.3333 0.7131
Pd 0.3333 0.6667 0.7073
Pd 0.6667 0.3333 0.2927

(2)
# BaGa4Pd2Pt

Crystalline BaGa4Pd2Pt at its relaxed geometry (GGA-PBE, the Alexandria database).

Space-group type   No. 166
E   -4.403 eV/atom
Energy relative to the elements   -0.60 eV/atom
Spin magnetization   0.00 μB/f.u.

a = 10.1342 Å, b = 10.1342 Å, c = 10.1342 Å
α = 24.80°, β = 24.80°, γ = 24.80°
Sites, in units of the cell vectors:
Ba 0.0000 0.0000 0.0000
Ga 0.1343 0.1343 0.1343
Ga 0.4090 0.4090 0.4090
Ga 0.5910 0.5910 0.5910
Ga 0.8657 0.8657 0.8657
Pd 0.2287 0.2287 0.2287
Pd 0.7713 0.7713 0.7713
Pt 0.5000 0.5000 0.5000

(3)
# BaGa2PdPt

Crystalline BaGa2PdPt at its relaxed geometry (GGA-PBE, the Alexandria database).

Space-group type   No. 119
E   -4.565 eV/atom
Energy relative to the elements   -0.72 eV/atom
Spin magnetization   0.00 μB/f.u.

a = 6.3981 Å, b = 6.3981 Å, c = 6.3981 Å
α = 138.93°, β = 138.93°, γ = 59.48°
Sites, in units of the cell vectors:
Ba 0.0000 0.0000 0.0000
Ga 0.3579 0.3579 0.0000
Ga 0.6421 0.6421 0.0000
Pd 0.7500 0.2500 0.5000
Pt 0.2500 0.7500 0.5000

(4)
# Ba2Ga3Pd12Pt

Crystalline Ba2Ga3Pd12Pt at its relaxed geometry (GGA-PBE, the Alexandria database).

Space-group type   No. 166
E   -4.608 eV/atom
Energy relative to the elements   -0.09 eV/atom
Spin magnetization   0.00 μB/f.u.

a = 8.0644 Å, b = 8.0644 Å, c = 8.0644 Å
α = 62.58°, β = 62.58°, γ = 62.58°
Sites, in units of the cell vectors:
Ba 0.1147 0.1147 0.1147
Ba 0.8853 0.8853 0.8853
Ga 0.0000 0.5000 0.5000
Ga 0.5000 0.0000 0.5000
Ga 0.5000 0.5000 0.0000
Pd 0.1205 0.6283 0.6283
Pd 0.1400 0.1400 0.5998
Pd 0.1400 0.5998 0.1400
Pd 0.3717 0.3717 0.8795
Pd 0.3717 0.8795 0.3717
Pd 0.4002 0.8600 0.8600
Pd 0.5998 0.1400 0.1400
Pd 0.6283 0.1205 0.6283
Pd 0.6283 0.6283 0.1205
Pd 0.8600 0.4002 0.8600
Pd 0.8600 0.8600 0.4002
Pd 0.8795 0.3717 0.3717
Pt 0.5000 0.5000 0.5000

(5)
# BaGa3PdPt

Crystalline BaGa3PdPt at its relaxed geometry (GGA-PBE, the Alexandria database).

Space-group type   No. 63
E   -4.308 eV/atom
Energy relative to the elements   -0.60 eV/atom
Spin magnetization   0.00 μB/f.u.

a = 7.0014 Å, b = 7.0014 Å, c = 6.9668 Å
α = 90.00°, β = 90.00°, γ = 123.84°
Sites, in units of the cell vectors:
Ba 0.2466 0.7534 0.7500
Ba 0.7534 0.2466 0.2500
Ga 0.2199 0.7801 0.2500
Ga 0.2782 0.2782 0.0000
Ga 0.2782 0.2782 0.5000
Ga 0.7218 0.7218 0.0000
Ga 0.7218 0.7218 0.5000
Ga 0.7801 0.2199 0.7500
Pd 0.0287 0.9713 0.2500
Pd 0.9713 0.0287 0.7500
Pt 0.4103 0.5897 0.2500
Pt 0.5897 0.4103 0.7500

(6)
# Ba2Ga4Pd3Pt

Crystalline Ba2Ga4Pd3Pt at its relaxed geometry (GGA-PBE, the Alexandria database).

Space-group type   No. 115
E   -4.459 eV/atom
Energy relative to the elements   -0.70 eV/atom
Spin magnetization   0.00 μB/f.u.

a = 4.5401 Å, b = 4.5401 Å, c = 10.5723 Å
α = 90.00°, β = 90.00°, γ = 90.00°
Sites, in units of the cell vectors:
Ba 0.0000 0.5000 0.2459
Ba 0.5000 0.0000 0.7541
Ga 0.0000 0.0000 0.5000
Ga 0.0000 0.5000 0.8832
Ga 0.5000 0.0000 0.1168
Ga 0.5000 0.5000 0.5000
Pd 0.0000 0.0000 0.0000
Pd 0.0000 0.5000 0.6249
Pd 0.5000 0.0000 0.3751
Pt 0.5000 0.5000 0.0000

(7)
# RbBa2GaPd

Crystalline RbBa2GaPd at its relaxed geometry (GGA-PBE, the Alexandria database).

Space-group type   No. 123
E   -2.800 eV/atom
Energy relative to the elements   -0.19 eV/atom
Spin magnetization   0.57 μB/f.u.

a = 6.3592 Å, b = 6.3592 Å, c = 5.0938 Å
α = 90.00°, β = 90.00°, γ = 90.00°
Sites, in units of the cell vectors:
Rb 0.0000 0.0000 0.0000
Ba 0.0000 0.5000 0.5000
Ba 0.5000 0.0000 0.5000
Ga 0.5000 0.5000 0.0000
Pd 0.5000 0.5000 0.5000

(8)
# Ba2GaRePd

Crystalline Ba2GaRePd at its relaxed geometry (GGA-PBE, the Alexandria database).

Space-group type   No. 123
E   -4.373 eV/atom
Energy relative to the elements   0.53 eV/atom
Spin magnetization   0.12 μB/f.u.

a = 5.8239 Å, b = 5.8239 Å, c = 4.8329 Å
α = 90.00°, β = 90.00°, γ = 90.00°
Sites, in units of the cell vectors:
Ba 0.0000 0.5000 0.0000
Ba 0.5000 0.0000 0.0000
Ga 0.0000 0.0000 0.5000
Re 0.0000 0.0000 0.0000
Pd 0.5000 0.5000 0.5000

(9)
# Ba2GaPdRh

Crystalline Ba2GaPdRh at its relaxed geometry (GGA-PBE, the Alexandria database).

Space-group type   No. 129
E   -4.414 eV/atom
Energy relative to the elements   -0.53 eV/atom
Spin magnetization   0.00 μB/f.u.

a = 4.5383 Å, b = 4.5383 Å, c = 14.9282 Å
α = 90.00°, β = 90.00°, γ = 90.00°
Sites, in units of the cell vectors:
Ba 0.2500 0.2500 0.1040
Ba 0.2500 0.2500 0.6701
Ba 0.7500 0.7500 0.3299
Ba 0.7500 0.7500 0.8960
Ga 0.2500 0.2500 0.4258
Ga 0.7500 0.7500 0.5742
Pd 0.2500 0.2500 0.8855
Pd 0.7500 0.7500 0.1145
Rh 0.2500 0.7500 0.5000
Rh 0.7500 0.2500 0.5000

(10)
# BaGa4Pd2Rh

Crystalline BaGa4Pd2Rh at its relaxed geometry (GGA-PBE, the Alexandria database).

Space-group type   No. 166
E   -4.577 eV/atom
Energy relative to the elements   -0.61 eV/atom
Spin magnetization   0.00 μB/f.u.

a = 10.1476 Å, b = 10.1476 Å, c = 10.1476 Å
α = 24.53°, β = 24.53°, γ = 24.53°
Sites, in units of the cell vectors:
Ba 0.0000 0.0000 0.0000
Ga 0.1352 0.1352 0.1352
Ga 0.4102 0.4102 0.4102
Ga 0.5898 0.5898 0.5898
Ga 0.8648 0.8648 0.8648
Pd 0.2267 0.2267 0.2267
Pd 0.7733 0.7733 0.7733
Rh 0.5000 0.5000 0.5000

(11)
# Ba2GaSbPd6

Crystalline Ba2GaSbPd6 at its relaxed geometry (GGA-PBE, the Alexandria database).

Space-group type   No. 2
E   -4.822 eV/atom
ΔE_f (raw)   -585 kJ/mol of formula units
Spin magnetization   0.00 μB/f.u.

a = 6.9272 Å, b = 6.9274 Å, c = 6.9966 Å
α = 60.72°, β = 60.71°, γ = 60.27°
Sites, in units of the cell vectors:
Ba 0.2197 0.2199 0.3407
Ba 0.7803 0.7801 0.6593
Ga 0.5000 0.5000 0.5000
Sb 0.0000 0.0000 0.0000
Pd 0.2537 0.2555 0.8393
Pd 0.2555 0.6495 0.8416
Pd 0.3502 0.7469 0.1586
Pd 0.6498 0.2531 0.8414
Pd 0.7445 0.3505 0.1584
Pd 0.7463 0.7445 0.1607

(12)
# Ba2GaSb3Pd4

Crystalline Ba2GaSb3Pd4 at its relaxed geometry (GGA-PBE, the Alexandria database).

Space-group type   No. 115
E   -4.780 eV/atom
ΔE_f (raw)   -751 kJ/mol of formula units
Spin magnetization   0.00 μB/f.u.

a = 4.7311 Å, b = 4.7311 Å, c = 10.8009 Å
α = 90.00°, β = 90.00°, γ = 90.00°
Sites, in units of the cell vectors:
Ba 0.0000 0.5000 0.2493
Ba 0.5000 0.0000 0.7507
Ga 0.0000 0.0000 0.5000
Sb 0.0000 0.5000 0.8739
Sb 0.5000 0.0000 0.1261
Sb 0.5000 0.5000 0.5000
Pd 0.0000 0.0000 0.0000
Pd 0.0000 0.5000 0.6198
Pd 0.5000 0.0000 0.3802
Pd 0.5000 0.5000 0.0000